Re2MoO6 after structural relaxation. Source: Alexandria, functional PBE+U.

Properties
* Fermi-level density of states: 8.7 states/eV per cell
* raw total energy: -8.295 eV/atom
* spin magnetization: 2.26 μB/cell

Lattice parameters (Å, degrees): 4.911 4.911 8.706 90.00 90.00 90.00
Space group P4_2/mnm (No. 136)
Unique sites:
Re  0.000  0.000  0.178
Mo  0.000  0.000  0.500
O  0.188  0.188  0.000
O  0.219  0.219  0.323